(1)
Computed, not measured: an optimized crystal structure of LiIN3 at the GGA-PBE level of DFT.

Unit cell a=3.9514 b=3.9514 c=3.9514 alpha=90.00 beta=90.00 gamma=90.00
Last column: nearest neighbours and their distance in Å.
Space group Pm-3m (No. 221)
Asymmetric unit:
1 Li 0.0000 0.0000 0.0000 x1  12 N 2.79
2 I 0.5000 0.5000 0.5000 x1  6 N 1.98
3 N 0.0000 0.5000 0.5000 x3  2 I 1.98

Summary:
* formation energy from raw total energies: 1.88 eV/atom
* total DFT energy (no corrections): -3.805 eV/atom

---

(2)
Computed, not measured: an optimized crystal structure of LiIN3 at the GGA-PBE level of DFT.

Unit cell a=3.7707 b=3.7707 c=3.7707 alpha=90.00 beta=90.00 gamma=90.00
Last column: nearest neighbours and their distance in Å.
Space group Pm-3m (No. 221)
Asymmetric unit:
1 Li 0.0000 0.0000 0.0000 x1  6 N 1.89
2 I 0.5000 0.5000 0.5000 x1  12 N 2.67
3 N 0.0000 0.0000 0.5000 x3  2 Li 1.89

Summary:
* formation energy from raw total energies: 2.37 eV/atom
* total DFT energy (no corrections): -3.315 eV/atom

---

(3)
Computed, not measured: an optimized crystal structure of Li2I3N2 at the GGA-PBE level of DFT.

Unit cell a=3.5327 b=7.8215 c=8.6774 alpha=91.90 beta=93.52 gamma=103.02
Last column: nearest neighbours and their distance in Å.
Space group P-1 (No. 2)
Asymmetric unit:
1 Li 0.1384 0.2928 0.4517 x2  5 I 2.81-2.89
2 I 0.2851 0.5001 0.7293 x2  3 Li 2.81-2.88
3 I 0.5000 0.0000 0.5000 x1  4 Li 2.89
4 N 0.0013 0.9599 0.9459 x2  1 N 1.11

Summary:
* formation energy from raw total energies: -0.61 eV/atom
* total DFT energy (no corrections): -4.196 eV/atom

---

(4)
Computed, not measured: an optimized crystal structure of Li4I2N at the GGA-PBE level of DFT.

Unit cell a=4.1905 b=4.1905 c=15.4694 alpha=90.00 beta=90.00 gamma=90.00
Last column: nearest neighbours and their distance in Å.
Space group I4/mmm (No. 139)
Asymmetric unit:
1 Li 0.0000 0.0000 0.1291 x4  1 N 2.00
2 Li 0.0000 0.5000 0.0000 x4  2 N 2.10
3 I 0.0000 0.0000 0.3500 x4  8 Li 2.98-3.13
4 N 0.0000 0.0000 0.0000 x2  6 Li 2.00-2.10

Summary:
* formation energy from raw total energies: -0.64 eV/atom
* total DFT energy (no corrections): -3.369 eV/atom

---

(5)
Computed, not measured: an optimized crystal structure of LiIN2 at the GGA-PBE level of DFT.

Unit cell a=3.4315 b=3.4315 c=18.3450 alpha=90.00 beta=90.00 gamma=120.00
Last column: nearest neighbours and their distance in Å.
Space group R-3m (No. 166, hexagonal axes)
Asymmetric unit:
1 Li 0.0000 0.0000 0.0000 x3  2 N 1.89
2 I 0.0000 0.0000 0.5000 x3  6 N 2.30
3 N 0.0000 0.0000 0.1033 x6  1 Li 1.89

Summary:
* excess energy over the best structure of this formula in the dataset: 1711.5 meV/atom
* formation energy from raw total energies: 1.17 eV/atom
* total DFT energy (no corrections): -3.856 eV/atom

---

(6)
Computed, not measured: an optimized crystal structure of NaLiIN2 at the GGA-PBE level of DFT.

Unit cell a=4.4047 b=4.4047 c=5.8996 alpha=90.00 beta=90.00 gamma=90.00
Last column: nearest neighbours and their distance in Å.
Space group P4/mmm (No. 123)
Asymmetric unit:
1 Na 0.0000 0.0000 0.0000 x1  4 I 3.11
2 Li 0.5000 0.5000 0.5000 x1  4 N 2.20
3 I 0.5000 0.5000 0.0000 x1  2 Li 2.95, 4 Na 3.11
4 N 0.0000 0.5000 0.5000 x2  2 Li 2.20

Summary:
* excess energy over the best structure of this formula in the dataset: 0.0 meV/atom
* formation energy from raw total energies: 1.05 eV/atom
* total DFT energy (no corrections): -3.236 eV/atom

---

| no. | calculated density (g/cm3) |
| --- | --- |
| 1 | 4.7 |
| 2 | 5.4 |
| 3 | 3.0 |
| 4 | 3.6 |
| 5 | 4.3 |
| 6 | 2.7 |